PuIn2Ag2 after structural relaxation. Source: Alexandria via LeMat-Bulk, functional PBE.

Cell: 8.691 8.691 3.000 Å, 90.00 90.00 90.00°
Space group P4/mbm (No. 127)
Unique sites:
Pu (0.000, 0.000, 0.000) [2 per cell]
In (0.139, 0.361, 0.000) [4 per cell]
Ag (0.158, 0.658, 0.500) [4 per cell]

Size of the total moment ... 6.410 μB/f.u.
Calculated total energy ... -51.1 eV for the cell shown
Offset from the most stable computed form ... 0.049 eV per atom